First-principles (PBE) data for an optimized crystal structure of RbB2PtN, as listed in Alexandria.

Cell and atoms, written as CIF:
```
data_RbB2PtN
_cell_length_a 4.670
_cell_length_b 4.670
_cell_length_c 4.212
_cell_angle_alpha 90.00
_cell_angle_beta 90.00
_cell_angle_gamma 90.00
_space_group_name_H-M_alt 'P 4/m m m'
_space_group_IT_number 123
_space_group_name_Hall '-P 4 2'
loop_
_atom_site_label
_atom_site_type_symbol
_atom_site_fract_x
_atom_site_fract_y
_atom_site_fract_z
_atom_site_occupancy
Rb1 Rb 0.000 0.000 0.000 1
B1 B 0.000 0.500 0.000 1
Pt1 Pt 0.500 0.500 0.500 1
N1 N 0.000 0.000 0.500 1
```

Total magnetic moment: 0.0 μB/f.u.
VASP energy: -2.178 eV/atom
Energy relative to the elements, uncorrected: 17.80 eV per formula unit
N(E_F): 0.65 states/eV per atom


First-principles (PBE) data for an optimized crystal structure of BPtS2N, as listed in Alexandria.

Cell and atoms, written as CIF:
```
data_BPtS2N
_cell_length_a 4.891
_cell_length_b 4.891
_cell_length_c 2.715
_cell_angle_alpha 90.00
_cell_angle_beta 90.00
_cell_angle_gamma 90.00
_space_group_name_H-M_alt 'P 4/m m m'
_space_group_IT_number 123
_space_group_name_Hall '-P 4 2'
loop_
_atom_site_label
_atom_site_type_symbol
_atom_site_fract_x
_atom_site_fract_y
_atom_site_fract_z
_atom_site_occupancy
B1 B 0.000 0.000 0.000 1
Pt1 Pt 0.500 0.500 0.500 1
S1 S 0.000 0.500 0.000 1
N1 N 0.000 0.000 0.500 1
```

Total magnetic moment: 0.0 μB/f.u.
VASP energy: -5.337 eV/atom
Energy relative to the elements, uncorrected: 2.61 eV per formula unit
Polymorph energy (0 for the lowest one): 0.0 kJ per mole of atoms
N(E_F): 0.44 states/eV per atom


First-principles (PBE) data for an optimized crystal structure of BPtS2N, as listed in Alexandria.

Cell and atoms, written as CIF:
```
data_BPtS2N
_cell_length_a 4.954
_cell_length_b 4.954
_cell_length_c 3.642
_cell_angle_alpha 90.00
_cell_angle_beta 90.00
_cell_angle_gamma 90.00
_space_group_name_H-M_alt 'P 4/m m m'
_space_group_IT_number 123
_space_group_name_Hall '-P 4 2'
loop_
_atom_site_label
_atom_site_type_symbol
_atom_site_fract_x
_atom_site_fract_y
_atom_site_fract_z
_atom_site_occupancy
B1 B 0.000 0.000 0.000 1
Pt1 Pt 0.500 0.500 0.500 1
S1 S 0.000 0.500 0.500 1
N1 N 0.500 0.500 0.000 1
```

Total magnetic moment: 0.0 μB/f.u.
VASP energy: -4.298 eV/atom
Energy relative to the elements, uncorrected: 7.81 eV per formula unit
Polymorph energy (0 for the lowest one): 100.3 kJ per mole of atoms
N(E_F): 0.58 states/eV per atom


First-principles (PBE) data for an optimized crystal structure of BSb2PtN, as listed in Alexandria.

Cell and atoms, written as CIF:
```
data_BSb2PtN
_cell_length_a 5.511
_cell_length_b 5.511
_cell_length_c 3.638
_cell_angle_alpha 90.00
_cell_angle_beta 90.00
_cell_angle_gamma 90.00
_space_group_name_H-M_alt 'P 4/m m m'
_space_group_IT_number 123
_space_group_name_Hall '-P 4 2'
loop_
_atom_site_label
_atom_site_type_symbol
_atom_site_fract_x
_atom_site_fract_y
_atom_site_fract_z
_atom_site_occupancy
B1 B 0.000 0.000 0.000 1
Sb1 Sb 0.000 0.500 0.500 1
Pt1 Pt 0.500 0.500 0.500 1
N1 N 0.500 0.500 0.000 1
```

Total magnetic moment: 0.0 μB/f.u.
VASP energy: -4.611 eV/atom
Energy relative to the elements, uncorrected: 6.23 eV per formula unit
N(E_F): 0.60 states/eV per atom


First-principles (PBE) data for an optimized crystal structure of BPtSe2N, as listed in Alexandria.

Cell and atoms, written as CIF:
```
data_BPtSe2N
_cell_length_a 5.161
_cell_length_b 5.161
_cell_length_c 2.744
_cell_angle_alpha 90.00
_cell_angle_beta 90.00
_cell_angle_gamma 90.00
_space_group_name_H-M_alt 'P 4/m m m'
_space_group_IT_number 123
_space_group_name_Hall '-P 4 2'
loop_
_atom_site_label
_atom_site_type_symbol
_atom_site_fract_x
_atom_site_fract_y
_atom_site_fract_z
_atom_site_occupancy
B1 B 0.000 0.000 0.000 1
Pt1 Pt 0.500 0.500 0.500 1
Se1 Se 0.000 0.500 0.000 1
N1 N 0.000 0.000 0.500 1
```

Total magnetic moment: 0.0 μB/f.u.
VASP energy: -5.256 eV/atom
Energy relative to the elements, uncorrected: 1.73 eV per formula unit
Polymorph energy (0 for the lowest one): 0.0 kJ per mole of atoms
N(E_F): 0.51 states/eV per atom


First-principles (PBE) data for an optimized crystal structure of BPtSe2N, as listed in Alexandria.

Cell and atoms, written as CIF:
```
data_BPtSe2N
_cell_length_a 5.222
_cell_length_b 5.222
_cell_length_c 3.641
_cell_angle_alpha 90.00
_cell_angle_beta 90.00
_cell_angle_gamma 90.00
_space_group_name_H-M_alt 'P 4/m m m'
_space_group_IT_number 123
_space_group_name_Hall '-P 4 2'
loop_
_atom_site_label
_atom_site_type_symbol
_atom_site_fract_x
_atom_site_fract_y
_atom_site_fract_z
_atom_site_occupancy
B1 B 0.000 0.000 0.000 1
Pt1 Pt 0.500 0.500 0.500 1
Se1 Se 0.000 0.500 0.500 1
N1 N 0.500 0.500 0.000 1
```

Total magnetic moment: 0.0 μB/f.u.
VASP energy: -4.195 eV/atom
Energy relative to the elements, uncorrected: 7.04 eV per formula unit
Polymorph energy (0 for the lowest one): 102.4 kJ per mole of atoms
N(E_F): 0.48 states/eV per atom


First-principles (PBE) data for an optimized crystal structure of BTe2PtN, as listed in Alexandria.

Cell and atoms, written as CIF:
```
data_BTe2PtN
_cell_length_a 5.453
_cell_length_b 5.453
_cell_length_c 2.858
_cell_angle_alpha 90.00
_cell_angle_beta 90.00
_cell_angle_gamma 90.00
_space_group_name_H-M_alt 'P 4/m m m'
_space_group_IT_number 123
_space_group_name_Hall '-P 4 2'
loop_
_atom_site_label
_atom_site_type_symbol
_atom_site_fract_x
_atom_site_fract_y
_atom_site_fract_z
_atom_site_occupancy
B1 B 0.000 0.000 0.000 1
Te1 Te 0.000 0.500 0.000 1
Pt1 Pt 0.500 0.500 0.500 1
N1 N 0.000 0.000 0.500 1
```

Total magnetic moment: 0.0 μB/f.u.
VASP energy: -5.112 eV/atom
Energy relative to the elements, uncorrected: 1.77 eV per formula unit
Polymorph energy (0 for the lowest one): 0.0 kJ per mole of atoms
N(E_F): 0.69 states/eV per atom


First-principles (PBE) data for an optimized crystal structure of BTe2PtN, as listed in Alexandria.

Cell and atoms, written as CIF:
```
data_BTe2PtN
_cell_length_a 5.591
_cell_length_b 5.591
_cell_length_c 3.650
_cell_angle_alpha 90.00
_cell_angle_beta 90.00
_cell_angle_gamma 90.00
_space_group_name_H-M_alt 'P 4/m m m'
_space_group_IT_number 123
_space_group_name_Hall '-P 4 2'
loop_
_atom_site_label
_atom_site_type_symbol
_atom_site_fract_x
_atom_site_fract_y
_atom_site_fract_z
_atom_site_occupancy
B1 B 0.000 0.000 0.000 1
Te1 Te 0.000 0.500 0.500 1
Pt1 Pt 0.500 0.500 0.500 1
N1 N 0.500 0.500 0.000 1
```

Total magnetic moment: 0.0 μB/f.u.
VASP energy: -4.185 eV/atom
Energy relative to the elements, uncorrected: 6.40 eV per formula unit
Polymorph energy (0 for the lowest one): 89.4 kJ per mole of atoms
N(E_F): 0.87 states/eV per atom


First-principles (PBE) data for an optimized crystal structure of ZnBPt2N, as listed in Alexandria.

Cell and atoms, written as CIF:
```
data_ZnBPt2N
_cell_length_a 4.246
_cell_length_b 4.246
_cell_length_c 3.769
_cell_angle_alpha 90.00
_cell_angle_beta 90.00
_cell_angle_gamma 90.00
_space_group_name_H-M_alt 'P 4/m m m'
_space_group_IT_number 123
_space_group_name_Hall '-P 4 2'
loop_
_atom_site_label
_atom_site_type_symbol
_atom_site_fract_x
_atom_site_fract_y
_atom_site_fract_z
_atom_site_occupancy
Zn1 Zn 0.000 0.000 0.000 1
B1 B 0.500 0.500 0.000 1
Pt1 Pt 0.000 0.500 0.500 1
N1 N 0.000 0.000 0.500 1
```

Total magnetic moment: 0.0 μB/f.u.
VASP energy: -4.606 eV/atom
Energy relative to the elements, uncorrected: 5.33 eV per formula unit
N(E_F): 0.11 states/eV per atom


First-principles (PBE) data for an optimized crystal structure of Pu5BN8, as listed in Alexandria.

Cell and atoms, written as CIF:
```
data_Pu5BN8
_cell_length_a 7.542
_cell_length_b 7.542
_cell_length_c 7.147
_cell_angle_alpha 90.00
_cell_angle_beta 90.00
_cell_angle_gamma 90.00
_space_group_name_H-M_alt 'I -4'
_space_group_IT_number 82
loop_
_space_group_symop_operation_xyz
'x,y,z'
'y,-x,-z'
'-x,-y,z'
'-y,x,-z'
'x+1/2,y+1/2,z+1/2'
'y+1/2,-x+1/2,-z+1/2'
'-x+1/2,-y+1/2,z+1/2'
'-y+1/2,x+1/2,-z+1/2'
loop_
_atom_site_label
_atom_site_type_symbol
_atom_site_fract_x
_atom_site_fract_y
_atom_site_fract_z
_atom_site_occupancy
Pu1 Pu 0.000 0.000 0.000 1
Pu2 Pu 0.230 0.235 0.372 1
B1 B 0.000 0.500 0.750 1
N1 N 0.053 0.313 0.643 1
N2 N 0.056 0.243 0.140 1
```

Total magnetic moment: 19.0 μB/f.u.
VASP energy: -11.065 eV/atom
Energy relative to the elements, uncorrected: -9.97 eV per formula unit
N(E_F): 1.86 states/eV per atom


First-principles (PBE) data for an optimized crystal structure of Pu3B2N6, as listed in Alexandria.

Cell and atoms, written as CIF:
```
data_Pu3B2N6
_cell_length_a 3.556
_cell_length_b 3.556
_cell_length_c 18.274
_cell_angle_alpha 90.00
_cell_angle_beta 90.00
_cell_angle_gamma 90.00
_space_group_name_H-M_alt 'I 4/m m m'
_space_group_IT_number 139
_space_group_name_Hall '-I 4 2'
loop_
_atom_site_label
_atom_site_type_symbol
_atom_site_fract_x
_atom_site_fract_y
_atom_site_fract_z
_atom_site_occupancy
Pu1 Pu 0.000 0.000 0.000 1
Pu2 Pu 0.000 0.000 0.178 1
B1 B 0.000 0.000 0.391 1
N1 N 0.000 0.000 0.307 1
N2 N 0.000 0.500 0.084 1
```

Total magnetic moment: 12.1 μB/f.u.
VASP energy: -10.286 eV/atom
Energy relative to the elements, uncorrected: -6.85 eV per formula unit
N(E_F): 1.66 states/eV per atom


First-principles (PBE) data for an optimized crystal structure of Pu5B2N5, as listed in Alexandria.

Cell and atoms, written as CIF:
```
data_Pu5B2N5
_cell_length_a 13.714
_cell_length_b 3.523
_cell_length_c 7.485
_cell_angle_alpha 90.00
_cell_angle_beta 109.90
_cell_angle_gamma 90.00
_space_group_name_H-M_alt 'C 1 2/m 1'
_space_group_IT_number 12
loop_
_space_group_symop_operation_xyz
'x,y,z'
'-x,-y,-z'
'-x,y,-z'
'x,-y,z'
'x+1/2,y+1/2,z'
'-x+1/2,-y+1/2,-z'
'-x+1/2,y+1/2,-z'
'x+1/2,-y+1/2,z'
loop_
_atom_site_label
_atom_site_type_symbol
_atom_site_fract_x
_atom_site_fract_y
_atom_site_fract_z
_atom_site_occupancy
Pu1 Pu 0.000 0.000 0.000 1
Pu2 Pu 0.133 0.000 0.470 1
Pu3 Pu 0.244 0.000 0.852 1
B1 B 0.020 0.500 0.708 1
N1 N 0.000 0.500 0.500 1
N2 N 0.102 0.500 0.889 1
N3 N 0.241 0.500 0.657 1
```

Total magnetic moment: 6.0 μB/f.u.
VASP energy: -11.252 eV/atom
Energy relative to the elements, uncorrected: -8.38 eV per formula unit
N(E_F): 2.27 states/eV per atom


Q: What is the formula in the third record?
A: BPtS2N